Compound: InRePb2O6
Source: OQMD
Functional: PBE-GGA
Structure: optimized geometry

```
InRePb2O6
1.0
0.000 4.079 4.079
4.079 0.000 4.079
4.079 4.079 0.000
In O Pb Re
1 6 2 1
direct
0.000 0.000 0.000
0.740 0.260 0.260
0.740 0.740 0.260
0.260 0.740 0.260
0.260 0.740 0.740
0.260 0.260 0.740
0.740 0.260 0.740
0.250 0.250 0.250
0.750 0.750 0.750
0.500 0.500 0.500
```

Values from the calculation:
E: -6.47 eV per atom
Density: 9.93 Mg/m³
M_tot: 2.00 μB per cell